No. 1
A geometry-optimized NiHg2Ru structure, computed with GGA-PBE.

Cell and atoms, written as POSCAR:
```
NiHg2Ru
1.0
-1.9771 -3.5940 -1.9949
-4.5000 -0.6356 0.3902
-2.7110 0.6051 -3.6181
Ru Hg Ni
1 2 1
direct
0.5000 0.5000 0.5000
0.2500 0.2500 0.2500
0.7500 0.7500 0.7500
0.0000 0.0000 0.0000
```

- electronic total energy (eV per cell) = -13.6
- magnetic moment (μB per formula unit) = 0.8
- calculated formation energy (meV per atom) = 504
- crystal system = cubic
- D(E_F) (states/eV/atom) = 1.31

***

No. 2
A geometry-optimized Ni2HgRu structure, computed with GGA-PBE.

Cell and atoms, written as POSCAR:
```
Ni2HgRu
1.0
-4.0997 -0.8351 1.8427
-1.7643 -3.2973 -2.6298
4.0785 0.1215 2.0621
Hg Ni Ru
1 2 1
direct
0.2500 0.7500 0.5000
0.0000 0.0000 0.0000
0.5000 0.5000 0.0000
0.7500 0.2500 0.5000
```

- electronic total energy (eV per cell) = -19.7
- magnetic moment (μB per formula unit) = 2.6
- calculated formation energy (meV per atom) = 370
- crystal system = tetragonal
- D(E_F) (states/eV/atom) = 1.22

***

No. 3
A geometry-optimized NiHgRu2 structure, computed with GGA-PBE.

Cell and atoms, written as POSCAR:
```
NiHgRu2
1.0
4.7592 -0.0058 0.0000
1.5609 4.4959 0.0000
-3.1600 -2.2450 2.7611
Hg Ni Ru
1 1 2
direct
0.5000 0.5000 0.0000
0.7500 0.2500 0.5000
0.0000 0.0000 0.0000
0.2500 0.7500 0.5000
```

- electronic total energy (eV per cell) = -22.8
- magnetic moment (μB per formula unit) = 0.0
- calculated formation energy (meV per atom) = 457
- crystal system = tetragonal
- D(E_F) (states/eV/atom) = 1.39

***

No. 4
A geometry-optimized NiHg2Ru structure, computed with GGA-PBE.

Cell and atoms, written as POSCAR:
```
NiHg2Ru
1.0
-7.8406 4.8464 -2.7865
-9.1440 2.7530 -1.2389
-8.1426 5.1396 0.0943
Hg Ni Ru
2 1 1
direct
0.0084 0.0084 0.0084
0.2384 0.2384 0.2384
0.4923 0.4923 0.4923
0.7609 0.7609 0.7609
```

- electronic total energy (eV per cell) = -13.9
- magnetic moment (μB per formula unit) = 0.0
- calculated formation energy (meV per atom) = 434
- crystal system = trigonal
- D(E_F) (states/eV/atom) = 0.98

***

No. 5
A geometry-optimized NiHgRu structure, computed with GGA-PBE.

Cell and atoms, written as POSCAR:
```
NiHgRu
1.0
5.9656 -0.0240 0.0000
4.6133 3.7823 0.0000
-5.2894 -1.8792 2.0197
Hg Ni Ru
1 1 1
direct
0.9944 0.9944 0.0000
0.3186 0.3186 0.0000
0.6870 0.6870 0.0000
```

- electronic total energy (eV per cell) = -14.2
- magnetic moment (μB per formula unit) = 0.2
- calculated formation energy (meV per atom) = 373
- crystal system = tetragonal
- D(E_F) (states/eV/atom) = 1.28

***

No. 6
A geometry-optimized NiHgRu structure, computed with GGA-PBE.

Cell and atoms, written as POSCAR:
```
NiHgRu
1.0
4.1798 0.0000 0.0000
2.0899 3.6198 0.0000
2.0899 1.2066 3.4128
Hg Ni Ru
1 1 1
direct
0.5000 0.5000 0.5000
0.7500 0.7500 0.7500
0.0000 0.0000 0.0000
```

- electronic total energy (eV per cell) = -13.5
- magnetic moment (μB per formula unit) = 2.1
- calculated formation energy (meV per atom) = 605
- crystal system = cubic
- D(E_F) (states/eV/atom) = 0.26

***

No. 7
A geometry-optimized Ni2HgRu structure, computed with GGA-PBE.

Cell and atoms, written as POSCAR:
```
Ni2HgRu
1.0
-0.6593 2.4119 -1.5742
1.4436 -1.1217 -2.3233
-5.4920 -2.8351 -2.0436
Hg Ni Ru
1 2 1
direct
0.5000 0.5000 0.7664
0.0000 0.0000 0.0429
0.5000 0.5000 0.2431
0.0000 0.0000 0.4476
```

- electronic total energy (eV per cell) = -19.9
- magnetic moment (μB per formula unit) = 0.5
- calculated formation energy (meV per atom) = 320
- crystal system = tetragonal
- D(E_F) (states/eV/atom) = 1.37

***

No. 8
A geometry-optimized Ni2HgRu structure, computed with GGA-PBE.

Cell and atoms, written as POSCAR:
```
Ni2HgRu
1.0
-3.6944 1.4822 -2.6827
0.2747 -1.6051 -4.5156
0.3298 -2.1240 4.2921
Hg Ni Ru
1 2 1
direct
0.7500 0.2500 0.5000
0.0000 0.0000 0.0000
0.2500 0.7500 0.5000
0.5000 0.5000 0.0000
```

- electronic total energy (eV per cell) = -19.5
- magnetic moment (μB per formula unit) = 2.4
- calculated formation energy (meV per atom) = 412
- crystal system = tetragonal
- D(E_F) (states/eV/atom) = 1.14